(1)
The following is a DFT calculation (PBE-GGA) of an optimized crystal structure of Sr5Ac.

Structure (POSCAR):
```
Sr5Ac
1.0
4.1555 0.0000 0.0000
0.0000 4.1555 0.0000
0.0000 0.0000 18.0827
Sr Ac
5 1
Direct
0.0000 0.0000 0.0000
0.0000 0.0000 0.3422
0.0000 0.0000 0.6578
0.5000 0.5000 0.1705
0.5000 0.5000 0.8295
0.5000 0.5000 0.5000
```

Calculated values
excess energy over the best structure of this formula in the dataset = 0 meV per atom
space-group type = P4/mmm, No. 123
volume = 52.04 Å³/atom
crystal system = tetragonal
calculated formation energy = 0.038 eV per atom

---

(2)
The following is a DFT calculation (PBE-GGA) of an optimized crystal structure of SrAc3.

Structure (POSCAR):
```
SrAc3
1.0
8.1463 0.0000 0.0000
-4.0731 7.0549 0.0000
0.0000 0.0000 6.5195
Sr Ac
2 6
Direct
0.3333 0.6667 0.2500
0.6667 0.3333 0.7500
0.1639 0.3277 0.7500
0.1639 0.8361 0.7500
0.3277 0.1639 0.2500
0.6723 0.8361 0.7500
0.8361 0.1639 0.2500
0.8361 0.6723 0.2500
```

Calculated values
space-group type = P6_3/mmc, No. 194
volume = 46.84 Å³/atom
crystal system = hexagonal
calculated formation energy = 0.078 eV per atom

---

(3)
The following is a DFT calculation (PBE-GGA) of an optimized crystal structure of Sr2Ac3.

Structure (POSCAR):
```
Sr2Ac3
1.0
4.0650 0.0000 0.0000
-2.0325 3.5204 0.0000
0.0000 0.0000 50.4924
Sr Ac
6 9
Direct
0.0000 0.0000 0.2019
0.0000 0.0000 0.7981
0.3333 0.6667 0.4648
0.3333 0.6667 0.8686
0.6667 0.3333 0.1314
0.6667 0.3333 0.5352
0.0000 0.0000 0.0000
0.0000 0.0000 0.3967
0.0000 0.0000 0.6033
0.3333 0.6667 0.0633
0.3333 0.6667 0.2700
0.3333 0.6667 0.6667
0.6667 0.3333 0.3333
0.6667 0.3333 0.7300
0.6667 0.3333 0.9367
```

Calculated values
space-group type = R-3m, No. 166
volume = 48.17 Å³/atom
crystal system = trigonal
calculated formation energy = 0.033 eV per atom

---

volume of number 3 (Sr2Ac3)? 48.17 Å³/atom

---

The lowest calculated formation energy belongs to which entry? Sr2Ac3

---

What is the calculated formation energy in the third record? 0.033 eV per atom

---

Which formula does entry 3 have? Sr2Ac3